Record 1
Computed, not measured: crystalline TaTc2Rh at its relaxed geometry at the GGA-PBE level of DFT.

Unit cell a=3.6605 b=3.6605 c=19.7235 alpha=90.00 beta=90.00 gamma=90.00
Positions (direct):
Ta: 0.0000 0.0000 0.0000
Ta: 0.0000 0.5000 0.2500
Ta: 0.5000 0.0000 0.7500
Ta: 0.5000 0.5000 0.5000
Tc: 0.2442 0.2500 0.1250
Tc: 0.2500 0.7442 0.3750
Tc: 0.2500 0.7558 0.8750
Tc: 0.2558 0.2500 0.6250
Tc: 0.7442 0.7500 0.6250
Tc: 0.7500 0.2442 0.8750
Tc: 0.7500 0.2558 0.3750
Tc: 0.7558 0.7500 0.1250
Rh: 0.0000 0.0000 0.5000
Rh: 0.0000 0.5000 0.7500
Rh: 0.5000 0.0000 0.2500
Rh: 0.5000 0.5000 0.0000

Output
SG = I-42d (122)

---

Record 2
Computed, not measured: crystalline Ta2TcRh at its relaxed geometry at the GGA-PBE level of DFT.

Unit cell a=5.7680 b=5.7680 c=11.5038 alpha=90.00 beta=90.00 gamma=90.00
Positions (direct):
Ta: 0.2501 0.2500 0.1250
Ta: 0.2499 0.2500 0.6250
Ta: 0.2500 0.7501 0.3750
Ta: 0.2500 0.7499 0.8750
Ta: 0.7500 0.2499 0.3750
Ta: 0.7500 0.2501 0.8750
Ta: 0.7499 0.7500 0.1250
Ta: 0.7501 0.7500 0.6250
Tc: 0.0000 0.0000 0.0000
Tc: 0.0000 0.5000 0.2500
Tc: 0.5000 0.0000 0.7500
Tc: 0.5000 0.5000 0.5000
Rh: 0.0000 0.0000 0.5000
Rh: 0.0000 0.5000 0.7500
Rh: 0.5000 0.0000 0.2500
Rh: 0.5000 0.5000 0.0000

Output
SG = I-42d (122)

---

Record 3
Computed, not measured: crystalline TaTc2Rh at its relaxed geometry at the GGA-PBE level of DFT.

Unit cell a=2.7931 b=2.7931 c=27.3699 alpha=90.00 beta=90.00 gamma=120.00
Positions (direct):
Ta: 0.0000 0.0000 0.0000
Ta: 0.3333 0.6667 0.6667
Ta: 0.6667 0.3333 0.3333
Tc: 0.0000 0.0000 0.2434
Tc: 0.0000 0.0000 0.4997
Tc: 0.3333 0.6667 0.1664
Tc: 0.3333 0.6667 0.9100
Tc: 0.6667 0.3333 0.5767
Tc: 0.6667 0.3333 0.8331
Rh: 0.0000 0.0000 0.7492
Rh: 0.3333 0.6667 0.4159
Rh: 0.6667 0.3333 0.0826

Output
SG = R3m (160)

---

no.,ΔE_f (meV per atom),E_tot (eV/atom)
1,394,-9.590
2,1222,-9.134
3,-18,-10.002